Record 1
Pr6Cd5Pb: optimized geometry, PBE.

- Energy relative to the elements: -4.28 eV/f.u.

Unit cell a=8.724 b=8.724 c=7.829 alpha=90.00 beta=90.00 gamma=143.33
Element x y z (fractional)
Pr (0.000, 0.000, 0.250)
Pr (0.000, 0.000, 0.750)
Pr (0.333, 0.667, 0.246)
Pr (0.333, 0.667, 0.754)
Pr (0.667, 0.333, 0.246)
Pr (0.667, 0.333, 0.754)
Cd (0.166, 0.834, 0.000)
Cd (0.173, 0.827, 0.500)
Cd (0.500, 0.500, 0.000)
Cd (0.827, 0.173, 0.500)
Cd (0.834, 0.166, 0.000)
Pb (0.500, 0.500, 0.500)

---

Record 2
PrCdPb2: optimized geometry, PBE.

- ΔE to the lowest computed polymorph: 471.1 meV per atom
- Energy relative to the elements: 0.31 eV/f.u.

Unit cell a=11.574 b=11.574 c=11.574 alpha=17.83 beta=17.83 gamma=17.83
Element x y z (fractional)
Pr (0.000, 0.000, 0.000)
Cd (0.500, 0.500, 0.500)
Pb (0.095, 0.095, 0.095)
Pb (0.905, 0.905, 0.905)

---

Number 1: V 356 Å³/cell. Number 2: V 127 Å³/cell.